1.
## Li3Zn2HgPd3 (GGA-PBE)

Data for crystalline Li3Zn2HgPd3 at its relaxed geometry.

Cell lengths 2.899, 7.347, 7.347 Å; angles 120.00, 90.00, 90.00 degrees
Sites, in units of the cell vectors:
Li1 0.500 0.699 0.000
Li2 0.500 0.000 0.699
Li3 0.500 0.301 0.301
Zn1 0.500 0.667 0.333
Zn2 0.500 0.333 0.667
Hg1 0.000 0.000 0.000
Pd1 0.000 0.612 0.612
Pd2 0.000 0.000 0.388
Pd3 0.000 0.388 0.000

Computed properties:
N(E_F): 0.220 states/eV/atom
Energy of formation from the pure elements: -436 meV per atom
Final energy: -3.121 eV/atom
Symmetry: No. 189

2.
## LiZnHg2Pd (GGA-PBE)

Data for crystalline LiZnHg2Pd at its relaxed geometry.

Cell lengths 4.943, 4.592, 4.943 Å; angles 90.00, 90.00, 90.00 degrees
Sites, in units of the cell vectors:
Zn1 0.000 0.000 0.000
Hg1 0.000 0.000 0.500
Hg2 0.500 0.000 0.000
Pd1 0.500 0.500 0.500
Li1 0.000 0.500 0.000

Computed properties:
N(E_F): 0.442 states/eV/atom
Energy of formation from the pure elements: 354 meV per atom
Final energy: -1.443 eV/atom
Symmetry: No. 123

3.
## Li2Zn2HgPd5 (GGA-PBE)

Data for crystalline Li2Zn2HgPd5 at its relaxed geometry.

Cell lengths 3.939, 9.183, 9.183 Å; angles 90.00, 90.00, 90.00 degrees
Sites, in units of the cell vectors:
Li1 0.000 0.672 0.172
Li2 0.000 0.328 0.828
Li3 0.000 0.172 0.328
Li4 0.000 0.828 0.672
Zn1 0.000 0.125 0.625
Zn2 0.000 0.875 0.375
Zn3 0.000 0.625 0.875
Zn4 0.000 0.375 0.125
Hg1 0.000 0.000 0.000
Hg2 0.000 0.500 0.500
Pd1 0.500 0.204 0.078
Pd2 0.500 0.796 0.922
Pd3 0.500 0.078 0.796
Pd4 0.500 0.704 0.422
Pd5 0.500 0.922 0.204
Pd6 0.500 0.296 0.578
Pd7 0.500 0.578 0.704
Pd8 0.500 0.422 0.296
Pd9 0.500 0.500 0.000
Pd10 0.500 0.000 0.500

Computed properties:
N(E_F): 0.345 states/eV/atom
Energy of formation from the pure elements: -360 meV per atom
Final energy: -3.624 eV/atom
Symmetry: No. 127

4.
## LiZrHg2Pd (GGA-PBE)

Data for crystalline LiZrHg2Pd at its relaxed geometry.

Cell lengths 5.443, 5.290, 5.443 Å; angles 90.00, 90.00, 90.00 degrees
Last column: magnetic moment on the atom in μB.
Sites, in units of the cell vectors:
Zr1 0.000 0.000 0.000  0.90
Hg1 0.000 0.000 0.500  0.03
Hg2 0.500 0.000 0.000  0.05
Pd1 0.500 0.500 0.500  0.00
Li1 0.000 0.500 0.000  0.11

Computed properties:
N(E_F): 0.869 states/eV/atom
Energy of formation from the pure elements: 1067 meV per atom
Final energy: -2.185 eV/atom
Symmetry: No. 123

- The highest final energy belongs to which entry?
  LiZnHg2Pd

- Which value of N(E_F) does entry 4 give?
  0.869 states/eV/atom

- Among the records above, which one has the highest energy of formation from the pure elements?
  LiZrHg2Pd

- Look up the energy of formation from the pure elements of the second one.
  354 meV per atom